Density functional theory data (SCAN) for a PBEsol-optimized structure of SnTe2Pt.

a = 6.3113 Å, b = 6.3113 Å, c = 12.7220 Å
α = 90.00°, β = 90.00°, γ = 90.00°
Space group I-42d (No. 122)
Asymmetric unit:
Sn: 0.0000 0.0000 0.0000
Te: 0.2040 0.2500 0.6250
Pt: 0.0000 0.0000 0.5000

***

Density functional theory data (SCAN) for a PBEsol-optimized structure of Zr5CuSb3.

a = 8.5294 Å, b = 8.5294 Å, c = 5.7650 Å
α = 90.00°, β = 90.00°, γ = 120.00°
Space group P6_3/mcm (No. 193)
Asymmetric unit:
Zr: 0.0000 0.2641 0.2500
Zr: 0.3333 0.6667 0.0000
Cu: 0.0000 0.0000 0.0000
Sb: 0.0000 0.3852 0.7500

***

Summary of M_tot in μB/atom
0.000; 0.000
(order as listed above)
Summary of energy relative to the elements, uncorrected in eV/atom
-0.12; -0.80
(order as listed above)
Summary of calculated density in g/cm³
7.458; 8.091
(order as listed above)